1.
{
  "formula": "SbIrRu",
  "functional": "PBE",
  "state": "relaxed",
  "lattice_angstrom": [[-1.489, 2.042, 4.111], [1.489, -2.042, 4.111], [1.489, 2.042, -4.111]],
  "species": ["Sb", "Ir", "Ru"],
  "fractional_positions": [[0.000, 0.000, 0.000], [0.322, 0.322, 0.000], [0.679, 0.679, 0.000]],
  "e_above_lowest_polymorph_kcal_per_mol_atoms": 2.363,
  "magmom_total_mub_per_cell": 0.026,
  "formation_energy_uncorrected_mev_per_atom": 364
}

---

2.
{
  "formula": "La3TmN",
  "functional": "PBE",
  "state": "relaxed",
  "lattice_angstrom": [[5.210, 0.000, 0.000], [0.000, 5.210, 0.000], [0.000, 0.000, 5.210]],
  "species": ["La", "La", "La", "Tm", "N"],
  "fractional_positions": [[0.000, 0.000, 0.500], [0.000, 0.500, 0.000], [0.500, 0.000, 0.000], [0.500, 0.500, 0.500], [0.000, 0.000, 0.000]],
  "magmom_total_mub_per_cell": 0.000,
  "formation_energy_uncorrected_mev_per_atom": -501
}

---

3.
{
  "formula": "BaAgPt2",
  "functional": "PBE",
  "state": "relaxed",
  "lattice_angstrom": [[-1.809, 2.534, 4.996], [1.809, -2.534, 4.996], [1.809, 2.534, -4.996]],
  "species": ["Ba", "Ag", "Pt", "Pt"],
  "fractional_positions": [[0.000, 0.000, 0.000], [0.710, 0.210, 0.500], [0.281, 0.781, 0.500], [0.484, 0.484, 0.000]],
  "e_form_ev_per_atom": -0.08,
  "e_above_lowest_polymorph_kcal_per_mol_atoms": 8.206,
  "magmom_total_mub_per_cell": 0.000
}